Record 1
A relaxed MgTlGe2Br crystal, computed with PBE.

Results
- raw total energy (eV/atom) = -2.33
- energy relative to the elements, uncorrected (eV/atom) = 0.641

a = 5.4014 Å, b = 5.4014 Å, c = 5.8857 Å
α = 90.00°, β = 90.00°, γ = 90.00°
With the nearest neighbours (Å) after each atom.
Space group P4/mmm (No. 123)
Unique sites:
Mg 0.0000 0.0000 0.0000 x1  4 Br 3.82, 8 Ge 3.99
Tl 0.5000 0.5000 0.5000 x1  4 Ge 2.70, 2 Br 2.94
Ge 0.0000 0.5000 0.5000 x2  2 Tl 2.70
Br 0.5000 0.5000 0.0000 x1  2 Tl 2.94

---

Record 2
A relaxed MgZnGe2Br crystal, computed with PBE.

Results
- raw total energy (eV/atom) = -1.97
- energy relative to the elements, uncorrected (eV/atom) = 0.788

a = 5.2585 Å, b = 5.2585 Å, c = 5.0725 Å
α = 90.00°, β = 90.00°, γ = 90.00°
With the nearest neighbours (Å) after each atom.
Space group P4/mmm (No. 123)
Unique sites:
Mg 0.0000 0.0000 0.0000 x1  2 Br 2.54
Zn 0.5000 0.5000 0.0000 x1  8 Ge 3.65, 4 Mg 3.72
Ge 0.0000 0.5000 0.5000 x2  2 Br 2.63
Br 0.0000 0.0000 0.5000 x1  2 Mg 2.54, 4 Ge 2.63

---

Record 3
A relaxed Mn5Ge3Br16 crystal, computed with PBE.

Results
- raw total energy (eV/atom) = -4.28
- energy relative to the elements, uncorrected (eV/atom) = -0.674

a = 13.9282 Å, b = 7.9594 Å, c = 12.6114 Å
α = 90.00°, β = 90.64°, γ = 90.00°
With the nearest neighbours (Å) after each atom.
Space group Cm (No. 8)
Unique sites:
Mn 0.0000 0.0000 0.0000 x2  6 Br 2.67-2.74
Mn 0.0053 0.5000 0.2397 x2  6 Br 2.66-2.73
Mn 0.0853 0.2534 0.5015 x4  6 Br 2.69-2.75
Mn 0.3367 0.5000 0.7355 x2  6 Br 2.70-2.76
Ge 0.2542 0.2531 0.0007 x4  6 Br 2.79-2.85
Ge 0.3402 0.0000 0.5000 x2  6 Br 2.80-2.86
Br 0.0024 0.0000 0.6170 x2  3 Mn 2.75-2.76
Br 0.0106 0.5000 0.6212 x2  2 Mn 2.69, 1 Ge 2.81
Br 0.0813 0.2497 0.1199 x4  2 Mn 2.72-2.74, 1 Ge 2.85
Br 0.1574 0.5000 0.3734 x2  3 Mn 2.69-2.74
Br 0.1584 0.0000 0.8827 x2  1 Mn 2.67, 2 Ge 2.83
Br 0.1623 0.0000 0.3891 x2  2 Mn 2.69, 1 Ge 2.83
Br 0.1802 0.5000 0.8653 x2  1 Mn 2.74, 2 Ge 2.79
Br 0.2494 0.2563 0.6215 x4  2 Mn 2.70-2.73, 1 Ge 2.86
Br 0.3406 0.0000 0.1305 x2  1 Mn 2.66, 2 Ge 2.85
Br 0.3456 0.5000 0.1242 x2  1 Mn 2.67, 2 Ge 2.80
Br 0.4153 0.2697 0.8684 x4  2 Mn 2.71-2.73, 1 Ge 2.81
Br 0.4302 0.2369 0.3711 x4  2 Mn 2.70-2.73, 1 Ge 2.80

---

Record 4
A relaxed Mn2Ge2Br crystal, computed with PBE.

Results
- energy above the most stable polymorph in this dataset (eV per atom) = 0.000
- raw total energy (eV/atom) = -5.69
- energy relative to the elements, uncorrected (eV/atom) = 0.156

a = 7.3074 Å, b = 7.3074 Å, c = 3.2159 Å
α = 90.00°, β = 90.00°, γ = 90.00°
With the nearest neighbours (Å) after each atom.
Space group P4/mbm (No. 127)
Unique sites:
Mn 0.1547 0.3453 0.0000 x4  6 Ge 2.65-2.72, 2 Br 2.76
Ge 0.1328 0.6328 0.5000 x4  6 Mn 2.65-2.72, 1 Ge 2.74
Br 0.0000 0.0000 0.0000 x2  4 Mn 2.76

---

Record 5
A relaxed MnGe2Br crystal, computed with PBE.

Results
- energy above the most stable polymorph in this dataset (eV per atom) = 0.000
- raw total energy (eV/atom) = -4.57
- energy relative to the elements, uncorrected (eV/atom) = 0.450

a = 5.4517 Å, b = 5.4517 Å, c = 14.4636 Å
α = 90.00°, β = 90.00°, γ = 90.00°
With the nearest neighbours (Å) after each atom.
Space group I-42d (No. 122)
Unique sites:
Mn 0.0000 0.0000 0.0000 x4  4 Ge 2.37
Ge 0.1289 0.2500 0.1250 x8  2 Mn 2.37
Br 0.0000 0.0000 0.5000 x4  4 Ge 3.04

---

Record 6
A relaxed MnGeBr4 crystal, computed with PBE.

Results
- energy above the most stable polymorph in this dataset (eV per atom) = 0.035
- raw total energy (eV/atom) = -4.05
- energy relative to the elements, uncorrected (eV/atom) = -0.637

a = 7.9076 Å, b = 17.2390 Å, c = 6.8055 Å
α = 90.00°, β = 124.66°, γ = 90.00°
With the nearest neighbours (Å) after each atom.
Space group C2/c (No. 15)
Unique sites:
Mn 0.0000 0.0696 0.2500 x4  6 Br 2.61-2.77
Ge 0.0000 0.4222 0.7500 x4  4 Br 2.61-2.90
Br 0.2270 0.0509 0.7391 x8  2 Mn 2.76-2.77, 2 Ge 2.90-3.07
Br 0.2494 0.3274 0.7334 x8  1 Ge 2.61, 1 Mn 2.61

---

Record 7
A relaxed MnGe2Br6 crystal, computed with PBE.

Results
- energy above the most stable polymorph in this dataset (eV per atom) = 0.051
- raw total energy (eV/atom) = -3.74
- energy relative to the elements, uncorrected (eV/atom) = -0.583

a = 14.5528 Å, b = 11.7562 Å, c = 6.8929 Å
α = 90.00°, β = 94.68°, γ = 90.00°
With the nearest neighbours (Å) after each atom.
Space group C2/c (No. 15)
Unique sites:
Mn 0.0000 0.0720 0.2500 x4  6 Br 2.63-2.87
Ge 0.2198 0.4042 0.3231 x8  3 Br 2.55-2.66
Br 0.1034 0.0771 0.9548 x8  2 Mn 2.63-2.64
Br 0.1145 0.2470 0.4307 x8  1 Ge 2.55
Br 0.1260 0.4323 0.9858 x8  2 Ge 2.62-2.66

---

Record 8
A relaxed MnGeBr4 crystal, computed with PBE.

Results
- energy above the most stable polymorph in this dataset (eV per atom) = 0.000
- raw total energy (eV/atom) = -4.08
- energy relative to the elements, uncorrected (eV/atom) = -0.671

a = 13.8442 Å, b = 3.9606 Å, c = 6.9622 Å
α = 90.00°, β = 98.70°, γ = 90.00°
With the nearest neighbours (Å) after each atom.
Space group C2/m (No. 12)
Unique sites:
Mn 0.0000 0.0000 0.0000 x2  6 Br 2.70-2.72
Ge 0.0000 0.5000 0.5000 x2  6 Br 2.83
Br 0.1106 0.5000 0.8772 x4  2 Mn 2.72, 1 Ge 2.83
Br 0.1143 0.0000 0.3511 x4  1 Mn 2.70, 2 Ge 2.83

---

Record 9
A relaxed MnGe3Br crystal, computed with PBE.

Results
- energy above the most stable polymorph in this dataset (eV per atom) = 1.269
- raw total energy (eV/atom) = -3.75
- energy relative to the elements, uncorrected (eV/atom) = 1.185

a = 5.1638 Å, b = 5.1638 Å, c = 5.1638 Å
α = 90.00°, β = 90.00°, γ = 90.00°
With the nearest neighbours (Å) after each atom.
Space group Pm-3m (No. 221)
Unique sites:
Mn 0.0000 0.0000 0.0000 x1  12 Ge 3.65
Ge 0.0000 0.5000 0.5000 x3  2 Br 2.58
Br 0.5000 0.5000 0.5000 x1  6 Ge 2.58

---

Record 10
A relaxed MnGeBr2 crystal, computed with PBE.

Results
- energy above the most stable polymorph in this dataset (eV per atom) = 0.000
- raw total energy (eV/atom) = -4.15
- energy relative to the elements, uncorrected (eV/atom) = 0.137

a = 7.7110 Å, b = 7.7110 Å, c = 6.6631 Å
α = 90.00°, β = 90.00°, γ = 90.00°
With the nearest neighbours (Å) after each atom.
Space group I-42d (No. 122)
Unique sites:
Mn 0.0000 0.0000 0.0000 x4  4 Br 2.66
Ge 0.0000 0.0000 0.5000 x4  4 Br 3.06, 2 Mn 3.33
Br 0.2116 0.7500 0.1250 x8  2 Mn 2.66

---

Record 11
A relaxed MnGe2Br crystal, computed with PBE.

Results
- energy above the most stable polymorph in this dataset (eV per atom) = 0.183
- raw total energy (eV/atom) = -4.39
- energy relative to the elements, uncorrected (eV/atom) = 0.633

a = 6.8703 Å, b = 6.8703 Å, c = 6.8703 Å
α = 90.00°, β = 90.00°, γ = 90.00°
With the nearest neighbours (Å) after each atom.
Space group Fm-3m (No. 225)
Unique sites:
Mn 0.0000 0.0000 0.0000 x4  8 Ge 2.97
Ge 0.2500 0.2500 0.2500 x8  4 Br 2.97, 4 Mn 2.97
Br 0.0000 0.0000 0.5000 x4  8 Ge 2.97

---

Record 12
A relaxed Mn2Ge2Br crystal, computed with PBE.

Results
- energy above the most stable polymorph in this dataset (eV per atom) = 0.054
- raw total energy (eV/atom) = -5.64
- energy relative to the elements, uncorrected (eV/atom) = 0.209

a = 3.7730 Å, b = 3.7730 Å, c = 12.9768 Å
α = 90.00°, β = 90.00°, γ = 90.00°
With the nearest neighbours (Å) after each atom.
Space group I4/mmm (No. 139)
Unique sites:
Mn 0.0000 0.0000 0.1087 x4  4 Ge 2.63, 1 Mn 2.82
Ge 0.0000 0.5000 0.2500 x4  4 Mn 2.63, 4 Ge 2.67
Br 0.0000 0.0000 0.5000 x2  8 Mn 3.02

---

Record 13
A relaxed MnGe3Br crystal, computed with PBE.

Results
- energy above the most stable polymorph in this dataset (eV per atom) = 0.000
- raw total energy (eV/atom) = -5.02
- energy relative to the elements, uncorrected (eV/atom) = -0.085

a = 4.6447 Å, b = 4.6447 Å, c = 4.6447 Å
α = 90.00°, β = 90.00°, γ = 90.00°
With the nearest neighbours (Å) after each atom.
Space group Pm-3m (No. 221)
Unique sites:
Mn 0.0000 0.0000 0.0000 x1  6 Ge 2.32
Ge 0.0000 0.0000 0.5000 x3  2 Mn 2.32
Br 0.5000 0.5000 0.5000 x1  12 Ge 3.28

---

Record 14
A relaxed Mn3GeBr8 crystal, computed with PBE.

Results
- raw total energy (eV/atom) = -4.52
- energy relative to the elements, uncorrected (eV/atom) = -0.727

a = 13.6413 Å, b = 7.8748 Å, c = 8.2979 Å
α = 90.00°, β = 124.01°, γ = 90.00°
With the nearest neighbours (Å) after each atom.
Space group C2/m (No. 12)
Unique sites:
Mn 0.0000 0.0000 0.0000 x2  6 Br 2.71-2.72
Mn 0.2500 0.2500 0.0000 x4  6 Br 2.71-2.72
Ge 0.0000 0.5000 0.0000 x2  6 Br 2.81
Br 0.0106 0.2406 0.7773 x8  2 Mn 2.71, 1 Ge 2.81
Br 0.2409 0.0000 0.2177 x4  3 Mn 2.72
Br 0.2486 0.5000 0.2225 x4  2 Mn 2.71, 1 Ge 2.81

---

Record 15
A relaxed MnGeBr2 crystal, computed with PBE.

Results
- energy above the most stable polymorph in this dataset (eV per atom) = 0.148
- raw total energy (eV/atom) = -4.00
- energy relative to the elements, uncorrected (eV/atom) = 0.286

a = 7.0415 Å, b = 7.0415 Å, c = 7.0415 Å
α = 90.00°, β = 90.00°, γ = 90.00°
With the nearest neighbours (Å) after each atom.
Space group Fm-3m (No. 225)
Unique sites:
Mn 0.0000 0.0000 0.0000 x4  8 Br 3.05
Ge 0.0000 0.0000 0.5000 x4  8 Br 3.05
Br 0.2500 0.2500 0.2500 x8  4 Ge 3.05, 4 Mn 3.05

---

Record 16
A relaxed MnGe2Br6 crystal, computed with PBE.

Results
- energy above the most stable polymorph in this dataset (eV per atom) = 0.000
- raw total energy (eV/atom) = -3.79
- energy relative to the elements, uncorrected (eV/atom) = -0.634

a = 15.6396 Å, b = 4.0075 Å, c = 9.7048 Å
α = 90.00°, β = 107.44°, γ = 90.00°
With the nearest neighbours (Å) after each atom.
Space group C2/m (No. 12)
Unique sites:
Mn 0.0000 0.0000 0.0000 x2  6 Br 2.65-2.74
Ge 0.1659 0.5000 0.3278 x4  6 Br 2.76-2.95
Br 0.0296 0.0000 0.2840 x4  1 Mn 2.65, 2 Ge 2.86
Br 0.1242 0.5000 0.0305 x4  2 Mn 2.74, 1 Ge 2.76
Br 0.2044 0.5000 0.6442 x4  3 Ge 2.81-2.95

---

Record 17
A relaxed Mn3GeBr9 crystal, computed with PBE.

Results
- raw total energy (eV/atom) = -4.25
- energy relative to the elements, uncorrected (eV/atom) = -0.622

a = 18.5632 Å, b = 9.5225 Å, c = 13.3645 Å
α = 90.00°, β = 128.30°, γ = 90.00°
With the nearest neighbours (Å) after each atom.
Space group Cc (No. 9)
Unique sites:
Mn 0.0000 0.0539 0.0000 x4  4 Br 2.45-2.53
Mn 0.1352 0.4253 0.9543 x4  4 Br 2.44-2.52
Mn 0.4002 0.1178 0.6036 x4  4 Br 2.45-2.50
Ge 0.2693 0.2199 0.7816 x4  6 Br 2.69-2.83
Br 0.0183 0.2355 0.8790 x4  2 Mn 2.51-2.53
Br 0.0665 0.3798 0.2918 x4  2 Mn 2.50-2.52
Br 0.1281 0.0335 0.7118 x4  1 Mn 2.45
Br 0.1623 0.4514 0.6349 x4  1 Mn 2.44
Br 0.2629 0.3116 0.9775 x4  1 Mn 2.44
Br 0.2664 0.0882 0.5979 x4  1 Mn 2.45, 1 Ge 2.73
Br 0.3774 0.3559 0.5087 x4  2 Mn 2.50
Br 0.3998 0.0423 0.9591 x4  1 Mn 2.46, 1 Ge 2.69
Br 0.4175 0.3689 0.8360 x4  1 Mn 2.47, 1 Ge 2.76

---

Record 18
A relaxed NaMnGe2Br8 crystal, computed with PBE.

Results
- raw total energy (eV/atom) = -3.48
- energy relative to the elements, uncorrected (eV/atom) = -0.724

a = 6.4987 Å, b = 7.1611 Å, c = 8.3915 Å
α = 93.64°, β = 90.70°, γ = 90.93°
With the nearest neighbours (Å) after each atom.
Space group P-1 (No. 2)
Unique sites:
Na 0.0000 0.0000 0.0000 x1  6 Br 2.93-3.07
Mn 0.0000 0.0000 0.5000 x1  4 Br 2.42-2.51
Ge 0.4777 0.5794 0.2440 x2  3 Br 2.51-2.69
Br 0.1931 0.1527 0.2993 x2  1 Mn 2.42
Br 0.2130 0.7108 0.4671 x2  1 Mn 2.51, 1 Ge 2.69
Br 0.2686 0.6517 0.0034 x2  1 Ge 2.51
Br 0.2822 0.1373 0.7536 x2  1 Ge 2.54

---

Record 19
A relaxed Na2MnGeBr6 crystal, computed with PBE.

Results
- raw total energy (eV/atom) = -3.64
- energy relative to the elements, uncorrected (eV/atom) = -0.998

a = 7.2347 Å, b = 7.2347 Å, c = 19.2441 Å
α = 90.00°, β = 90.00°, γ = 120.00°
With the nearest neighbours (Å) after each atom.
Space group R3 (No. 146, hexagonal axes)
Unique sites:
Na 0.0000 0.0000 0.0000 x3  6 Br 2.97-3.03
Na 0.0000 0.0000 0.4951 x3  6 Br 2.94-3.07
Mn 0.0000 0.0000 0.6996 x3  6 Br 2.63-2.81
Ge 0.0000 0.0000 0.2011 x3  6 Br 2.74-2.97
Br 0.0030 0.3771 0.4362 x9  1 Mn 2.63
Br 0.0532 0.7039 0.2741 x9  1 Ge 2.74, 1 Mn 2.81, 2 Na 2.97-3.07